# ScInHg

An optimized crystal structure of ScInHg (PBE-GGA, Alexandria).

Calculated values
energy relative to the lowest polymorph listed for this composition = 0.034 eV/atom
theoretical density = 8.73 g/cm3
N(E_F) = 6.3 states/eV per cell
formation energy = -286 meV per atom
space group = Pnma, No. 62
VASP energy = -3.41 eV/atom

Cell: 6.3314 4.7898 9.0387 Å, 90.00 90.00 90.00°
Fractional coordinates of all 12 atoms:
Sc (0.1283, 0.2500, 0.1181)
Sc (0.3717, 0.7500, 0.6181)
Sc (0.6283, 0.2500, 0.3819)
Sc (0.8717, 0.7500, 0.8819)
In (0.1370, 0.2500, 0.4555)
In (0.3630, 0.7500, 0.9555)
In (0.6370, 0.2500, 0.0445)
In (0.8630, 0.7500, 0.5445)
Hg (0.1422, 0.2500, 0.7894)
Hg (0.3578, 0.7500, 0.2894)
Hg (0.6422, 0.2500, 0.7106)
Hg (0.8578, 0.7500, 0.2106)